VASP calculation (GGA-PBE) on an optimized crystal structure of SmSc2Pd9.

Cell and atoms, written as CIF:
```
data_SmSc2Pd9
_chemical_formula_sum 'Sm1 Sc2 Pd9'
_cell_length_a 4.077
_cell_length_b 4.077
_cell_length_c 12.118
_cell_angle_alpha 90.00
_cell_angle_beta 90.00
_cell_angle_gamma 90.00
_symmetry_space_group_name_H-M 'P 1'
_symmetry_Int_Tables_number 1
_symmetry_space_group_name_Hall 'P 1'
loop_
_atom_site_label
_atom_site_fract_x
_atom_site_fract_y
_atom_site_fract_z
_atom_site_occupancy
Sm1 0.000 0.000 0.000 1
Sc1 0.000 0.000 0.339 1
Sc2 0.000 0.000 0.661 1
Pd1 0.000 0.500 0.177 1
Pd2 0.000 0.500 0.500 1
Pd3 0.000 0.500 0.823 1
Pd4 0.500 0.000 0.177 1
Pd5 0.500 0.000 0.500 1
Pd6 0.500 0.000 0.823 1
Pd7 0.500 0.500 0.000 1
Pd8 0.500 0.500 0.338 1
Pd9 0.500 0.500 0.662 1
```

Results
Total magnetic moment (μB/cell): 0.00
Space-group type: P4/mmm (123)
Mass density (g/cm³): 9.87
E_form (eV per atom): -0.820